Here is Rb3Tm2ThS6 after structural relaxation from the Alexandria database. Energies are from PBE.

The total energy comes out at -5.442 eV/atom. The mass density is 5.11 g/cm3. The value obtained for the uncorrected formation energy is -40.89 kcal/mol of atoms.

The space group is C2/m (No. 12) and the conventional cell measures 7.039, 12.193 and 8.061 Å, with angles of 90.00, 106.94 and 90.00 degrees. The asymmetric unit holds Rb at (0.000, 0.000, 0.000), Rb at (0.000, 0.334, 0.000), Tm at (0.000, 0.167, 0.500), Th at (0.000, 0.500, 0.500), S at (0.224, 0.000, 0.694) and S at (0.235, 0.330, 0.694).

Here is Cs3HW after structural relaxation from the Alexandria database. Energies are from PBE.

The total energy comes out at -2.600 eV/atom. The mass density is 4.94 g/cm3.

The space group is Pm-3m (No. 221) and the conventional cell measures 5.808, 5.808 and 5.808 Å, with angles of 90.00, 90.00 and 90.00 degrees. The asymmetric unit holds Cs at (0.000, 0.000, 0.500), H at (0.000, 0.000, 0.000) and W at (0.500, 0.500, 0.500).

Here is Rb3InPb after structural relaxation from the Alexandria database. Energies are from PBE.

The total energy comes out at -1.880 eV/atom. The mass density is 3.48 g/cm3. As for the energy above the lowest structure with this stoichiometry: 0 meV per atom. Its calculated formation energy is -0.0103 eV per atom.

The space group is C2/m (No. 12) and the conventional cell measures 12.528, 11.427 and 9.394 Å, with angles of 90.00, 124.82 and 90.00 degrees. The asymmetric unit holds Rb at (0.018, 0.000, 0.244), Rb at (0.222, 0.298, 0.233), In at (0.158, 0.500, 0.845) and Pb at (0.115, 0.500, 0.477).

Here is Tl2HgPtAu after structural relaxation from the Alexandria database. Energies are from PBE.

The total energy comes out at -2.810 eV/atom. The mass density is 11.05 g/cm3. As for the energy above the lowest structure with this stoichiometry: 0 meV per atom. Its calculated formation energy is 0.0603 eV per atom.

The space group is P4/mmm (No. 123) and the conventional cell measures 5.327, 5.327 and 5.302 Å, with angles of 90.00, 90.00 and 90.00 degrees. The asymmetric unit holds Tl at (0.000, 0.500, 0.000), Hg at (0.000, 0.000, 0.500), Pt at (0.500, 0.500, 0.000) and Au at (0.500, 0.500, 0.500).

Here is Pa2NbAsN6 after structural relaxation from the Alexandria database. Energies are from PBE.

The total energy comes out at -9.076 eV/atom. The mass density is 8.27 g/cm3. The value obtained for the uncorrected formation energy is -16.36 kcal/mol of atoms.

The space group is P4mm (No. 99) and the conventional cell measures 5.311, 5.311 and 5.081 Å, with angles of 90.00, 90.00 and 90.00 degrees. The asymmetric unit holds Pa at (0.000, 0.500, 0.000), Nb at (0.000, 0.000, 0.591), As at (0.500, 0.500, 0.564), N at (0.000, 0.000, 0.208), N at (0.251, 0.251, 0.751) and N at (0.500, 0.500, 0.198).

Here is Dy2NiS after structural relaxation from the Alexandria database. Energies are from PBE.

The total energy comes out at -5.997 eV/atom. The mass density is 8.27 g/cm3. As for the energy above the lowest structure with this stoichiometry: 0 meV per atom. The value obtained for the uncorrected formation energy is -28.11 kcal/mol of atoms.

The space group is Cmcm (No. 63) and the conventional cell measures 3.824, 22.116 and 3.947 Å, with angles of 90.00, 90.00 and 90.00 degrees. The asymmetric unit holds Dy at (0.000, 0.066, 0.250), Dy at (0.000, 0.316, 0.250), Ni at (0.000, 0.465, 0.250) and S at (0.000, 0.192, 0.250).

Here is Pm2ErReO8 after structural relaxation from the Alexandria database. Energies are from PBE.

The total energy comes out at -8.230 eV/atom. The mass density is 7.08 g/cm3. The value obtained for the uncorrected formation energy is -62.62 kcal/mol of atoms.

The space group is Cmmm (No. 65) and the conventional cell measures 7.215, 7.340 and 6.832 Å, with angles of 90.00, 90.00 and 90.00 degrees. The asymmetric unit holds Pm at (0.000, 0.000, 0.250), Er at (0.000, 0.500, 0.000), Re at (0.000, 0.500, 0.500), O at (0.000, 0.324, 0.293), O at (0.200, 0.000, 0.000) and O at (0.238, 0.000, 0.500).

Here is TaHSe2 after structural relaxation from the Alexandria database. Energies are from PBE.

The total energy comes out at -5.891 eV/atom. The mass density is 7.15 g/cm3. As for the energy above the lowest structure with this stoichiometry: 409 meV per atom.

The space group is P1 (No. 1) and the conventional cell measures 3.439, 6.421 and 7.566 Å, with angles of 84.87, 77.89 and 75.22 degrees. The asymmetric unit holds Ta at (0.000, 0.000, 0.000), Ta at (0.323, 0.412, 0.941), H at (0.174, 0.211, 0.433), H at (0.939, 0.782, 0.627), Se at (0.313, 0.754, 0.711), Se at (0.316, 0.164, 0.223), Se at (0.607, 0.672, 0.121) and Se at (0.994, 0.267, 0.720).

Here is ErTm6Se8 after structural relaxation from the Alexandria database. Energies are from PBE.

The total energy comes out at -5.723 eV/atom. The mass density is 8.29 g/cm3. The value obtained for the uncorrected formation energy is -40.85 kcal/mol of atoms.

The space group is Fm-3m (No. 225) and the conventional cell measures 11.323, 11.323 and 11.323 Å, with angles of 90.00, 90.00 and 90.00 degrees. The asymmetric unit holds Er at (0.000, 0.000, 0.000), Tm at (0.000, 0.250, 0.250), Se at (0.000, 0.000, 0.255) and Se at (0.250, 0.250, 0.250).

Here is PmAlPtAu after structural relaxation from the Alexandria database. Energies are from PBE.

The total energy comes out at -5.197 eV/atom. The mass density is 11.61 g/cm3. Its calculated formation energy is -0.7438 eV per atom.

The space group is F-43m (No. 216) and the conventional cell measures 6.859, 6.859 and 6.859 Å, with angles of 90.00, 90.00 and 90.00 degrees. The asymmetric unit holds Pm at (0.000, 0.000, 0.000), Al at (0.000, 0.000, 0.500), Pt at (0.250, 0.250, 0.750) and Au at (0.250, 0.250, 0.250).

Here is TaCo2Pb after structural relaxation from the Alexandria database. Energies are from PBE.

The total energy comes out at -7.089 eV/atom. The mass density is 12.94 g/cm3. Its calculated formation energy is 0.3538 eV per atom.

The space group is Pmm2 (No. 25) and the conventional cell measures 3.353, 3.389 and 5.713 Å, with angles of 90.00, 90.00 and 90.00 degrees. The asymmetric unit holds Ta at (0.000, 0.000, 0.000), Co at (0.000, 0.000, 0.407), Co at (0.500, 0.500, 0.147) and Pb at (0.500, 0.500, 0.631).

Here is Cs2ZrAl2O6 after structural relaxation from the Alexandria database. Energies are from PBE.

The total energy comes out at -6.836 eV/atom. The mass density is 4.20 g/cm3. The value obtained for the uncorrected formation energy is -58.09 kcal/mol of atoms.

The space group is C2/m (No. 12) and the conventional cell measures 10.312, 5.952 and 7.341 Å, with angles of 90.00, 117.20 and 90.00 degrees. The asymmetric unit holds Cs at (0.207, 0.000, 0.123), Zr at (0.000, 0.000, 0.500), Al at (0.104, 0.500, 0.318), O at (0.016, 0.251, 0.304) and O at (0.231, 0.000, 0.685).

What is the formula in the tenth record?
PmAlPtAu

Which of these has the lowest mass density?
Rb3InPb

Among the records above, which one has the lowest mass density?
Rb3InPb